PBE with a Hubbard U CsNiNO2, optimized geometry; space group = P4/mmm, No. 123; size of the total moment = 2.251 μB/f.u.; calculated total energy = -2.527 eV/atom
1.0
4.403 0.000 0.000
0.000 4.403 0.000
0.000 0.000 4.441
Cs Ni N O
1 1 1 2
Direct
0.000 0.000 0.000
0.500 0.500 0.500
0.000 0.000 0.500
0.000 0.500 0.000
0.500 0.000 0.000